1.
## ZrTlCo (PBE-GGA)

Data for ZrTlCo after structural relaxation.

Cell lengths 3.1685, 3.1685, 11.1887 Å; angles 90.00, 90.00, 90.00 degrees
Last column: nearest neighbours and their distance in Å.
Space group I4mm (No. 107)
Symmetry-distinct sites (fractional):
Zr: 0.0000 0.0000 0.0000  4 Co 2.69
Tl: 0.0000 0.0000 0.7089  4 Co 2.85, 4 Tl 3.17
Co: 0.0000 0.0000 0.3668  4 Zr 2.69, 4 Tl 2.85

Fermi-level density of states: 0.843 states/eV per atom
ΔH_f (0 K): 0.0434 eV/atom
energy above the lowest structure with this stoichiometry: 0.0 meV per atom

***

2.
## Pm6Pr2Nd3Tl (PBE-GGA)

Data for Pm6Pr2Nd3Tl after structural relaxation.

Cell lengths 6.2691, 10.8805, 12.0473 Å; angles 90.00, 100.14, 90.00 degrees
Last column: nearest neighbours and their distance in Å.
Space group C2/m (No. 12)
Symmetry-distinct sites (fractional):
Pm: 0.2427 0.0000 0.2511  6 Pm 3.53-3.67, 1 Tl 3.59, 2 Pr 3.63, 3 Nd 3.63-3.67
Pm: 0.2447 0.1628 0.7473  6 Pm 3.53-3.67, 1 Tl 3.57, 2 Pr 3.62, 3 Nd 3.64-3.67
Pr: 0.0000 0.3335 0.5000  6 Pm 3.62-3.63, 3 Tl 3.62-3.63, 3 Pr 3.62
Nd: 0.0000 0.1685 0.0000  6 Nd 3.60-3.67, 6 Pm 3.63-3.67
Nd: 0.0000 0.5000 0.0000  6 Nd 3.61-3.63, 6 Pm 3.64-3.67
Tl: 0.0000 0.0000 0.5000  6 Pm 3.57-3.59, 6 Pr 3.62-3.63

Fermi-level density of states: 1.330 states/eV per atom
ΔH_f (0 K): -0.0300 eV/atom

***

3.
## Li7InHg2 (PBE-GGA)

Data for Li7InHg2 after structural relaxation.

Cell lengths 7.4130, 13.8391, 4.6048 Å; angles 90.00, 90.00, 90.00 degrees
Last column: nearest neighbours and their distance in Å.
Space group Cmmm (No. 65)
Symmetry-distinct sites (fractional):
Li: 0.0000 0.0000 0.0000  2 Hg 2.75, 4 Li 2.84
Li: 0.0000 0.2912 0.5000  2 Hg 2.64, 1 In 2.89
Li: 0.1773 0.3895 0.0000  2 Li 2.63-2.84, 1 Hg 2.68
In: 0.0000 0.5000 0.5000  10 Li 2.89-3.06
Hg: 0.0000 0.1985 0.0000  5 Li 2.64-2.75

Fermi-level density of states: 0.463 states/eV per atom
ΔH_f (0 K): -0.0451 eV/atom
energy above the lowest structure with this stoichiometry: 170.3 meV per atom

***

4.
## PmDy2Ho5 (PBE-GGA)

Data for PmDy2Ho5 after structural relaxation.

Cell lengths 7.0913, 14.1857, 5.0014 Å; angles 90.00, 90.00, 90.00 degrees
Last column: nearest neighbours and their distance in Å.
Space group Pbam (No. 55)
Symmetry-distinct sites (fractional):
Pm: 0.0000 0.0000 0.0000  8 Ho 3.55-3.56, 4 Dy 3.55
Dy: 0.2504 0.1256 0.5000  10 Ho 3.53-3.57, 2 Pm 3.55
Ho: 0.9997 0.2508 0.0000  4 Dy 3.53-3.55, 7 Ho 3.53-3.55, 1 Pm 3.56
Ho: 0.0000 0.5000 0.0000  6 Ho 3.53-3.54, 4 Dy 3.54, 2 Pm 3.55
Ho: 0.2494 0.3743 0.5000  4 Dy 3.53-3.57, 6 Ho 3.53-3.54, 2 Pm 3.55

Fermi-level density of states: 1.162 states/eV per atom
ΔH_f (0 K): 0.0164 eV/atom
energy above the lowest structure with this stoichiometry: 7.7 meV per atom

***

5.
## NaSb2S4 (PBE-GGA)

Data for NaSb2S4 after structural relaxation.

Cell lengths 8.0967, 8.0967, 11.3248 Å; angles 90.00, 90.00, 90.00 degrees
Last column: nearest neighbours and their distance in Å.
Space group I-42d (No. 122)
Symmetry-distinct sites (fractional):
Na: 0.0000 0.0000 0.0000  4 S 2.70
Sb: 0.0007 0.2500 0.6250  6 S 2.72-2.73
S: 0.0015 0.2247 0.3852  1 Na 2.70, 3 Sb 2.72-2.73

uncorrected formation energy: -0.38 eV per atom
Fermi-level density of states: 0.891 states/eV per atom
energy above the lowest structure with this stoichiometry: 15.8 meV per atom

***

6.
## CeSbHRh (PBE-GGA)

Data for CeSbHRh after structural relaxation.

Cell lengths 4.5623, 4.5623, 3.8695 Å; angles 90.00, 90.00, 120.00 degrees
Last column: nearest neighbours and their distance in Å.
Space group P3m1 (No. 156)
Symmetry-distinct sites (fractional):
Ce: 0.0000 0.0000 0.0000  3 H 2.63
Sb: 0.3333 0.6667 0.5143  3 Rh 2.64
H: 0.6667 0.3333 0.9913  2 Rh 1.84-2.03
Rh: 0.6667 0.3333 0.4661  2 H 1.84-2.03

Fermi-level density of states: 0.465 states/eV per atom
E_tot: -6.03 eV/atom

***

7.
## Ag3AuSe3 (PBE-GGA)

Data for Ag3AuSe3 after structural relaxation.

Cell lengths 4.7237, 7.1561, 10.2856 Å; angles 83.99, 78.01, 74.69 degrees
Last column: nearest neighbours and their distance in Å.
Space group P-1 (No. 2)
Symmetry-distinct sites (fractional):
Ag: 0.2158 0.2231 0.4898  4 Se 2.58-2.61
Ag: 0.2360 0.5070 0.7726  2 Se 2.66-2.71, 1 Ag 2.89
Ag: 0.2473 0.6409 0.0682  4 Se 2.69-2.92, 2 Ag 2.89-2.90, 1 Au 2.90
Au: 0.3050 0.0720 0.8439  2 Se 2.47-2.50
Se: 0.1939 0.5460 0.3473  5 Ag 2.59-2.85
Se: 0.2606 0.9158 0.6485  1 Au 2.47, 2 Ag 2.58-2.59
Se: 0.2714 0.2323 0.0534  1 Au 2.50, 1 Ag 2.69

uncorrected formation energy: 0.00 eV per atom
Fermi-level density of states: 0.416 states/eV per atom

***

8.
## Cs2TlBr (PBE-GGA)

Data for Cs2TlBr after structural relaxation.

Cell lengths 4.3132, 4.3132, 10.2018 Å; angles 90.00, 90.00, 90.00 degrees
Last column: nearest neighbours and their distance in Å.
Space group P4/mmm (No. 123)
Symmetry-distinct sites (fractional):
Cs: 0.0000 0.0000 0.2131  4 Br 3.75
Tl: 0.5000 0.5000 0.5000  8 Cs 4.23, 4 Tl 4.31
Br: 0.5000 0.5000 0.0000  8 Cs 3.75

uncorrected formation energy: -0.78 eV per atom
Fermi-level density of states: 0.807 states/eV per atom
energy above the lowest structure with this stoichiometry: 0.0 meV per atom

***

Number 1: M_tot 1.33 Bohr magnetons per cell. Number 2: M_tot 0.00 Bohr magnetons per cell. Number 3: M_tot 0.00 Bohr magnetons per cell. Number 4: M_tot 0.00 Bohr magnetons per cell. Number 5: M_tot 0.00 Bohr magnetons per cell. Number 6: M_tot 0.09 Bohr magnetons per cell. Number 7: M_tot 0.00 Bohr magnetons per cell. Number 8: M_tot 0.56 Bohr magnetons per cell.